Model w:
PmYSc2 | PBE | optimized geometry

Values from the calculation:
Fermi-level density of states = 1.423 states/eV per atom
Theoretical density = 4.68 g/cm³
Total moment = 0.000 μB/cell

Cell: 3.9024 3.9024 7.5472 Å, 90.00 90.00 90.00°
Fractional positions:
Y 0.5000 0.5000 0.5000
Sc 0.0000 0.0000 0.7465
Sc 0.0000 0.0000 0.2535
Pm 0.5000 0.5000 0.0000



Model x:
PmYSc2 | PBE | optimized geometry

Values from the calculation:
Fermi-level density of states = 1.793 states/eV per atom
Theoretical density = 4.69 g/cm³
Total moment = 0.000 μB/cell

Cell: 4.6584 4.9592 4.9592 Å, 90.00 90.00 90.00°
Fractional positions:
Y 0.5000 0.0000 0.0000
Sc 0.0000 0.0000 0.5000
Sc 0.0000 0.5000 0.0000
Pm 0.5000 0.5000 0.5000



Stability summary - winner: model x; margin: 23 meV/atom.



Model w:
Pm4Y5Sc2 | PBE | optimized geometry

Values from the calculation:
Fermi-level density of states = 1.620 states/eV per atom
Theoretical density = 5.22 g/cm³
Total moment = 0.000 μB/cell

Cell: 3.5132 8.5450 14.0983 Å, 122.10 97.16 90.00°
Fractional positions:
Pm 0.7238 0.6226 0.4475
Pm 0.0380 0.7284 0.0761
Pm 0.2762 0.3774 0.5525
Pm 0.9620 0.2716 0.9239
Y 0.1823 0.8901 0.3646
Y 0.8177 0.1099 0.6354
Y 0.1293 0.2185 0.2587
Y 0.5000 0.0000 0.0000
Y 0.8707 0.7815 0.7413
Sc 0.5878 0.4788 0.1757
Sc 0.4122 0.5212 0.8243



Model x:
Pm4Y5Sc2 | PBE | optimized geometry

Values from the calculation:
Fermi-level density of states = 1.678 states/eV per atom
Theoretical density = 5.30 g/cm³
Total moment = 0.000 μB/cell

Cell: 5.4139 7.0046 9.6385 Å, 84.32 106.31 90.00°
Fractional positions:
Pm 0.3182 0.8751 0.6364
Pm 0.9404 0.6988 0.8809
Pm 0.6818 0.1249 0.3636
Pm 0.0596 0.3012 0.1191
Y 0.7497 0.6351 0.4995
Y 0.2503 0.3649 0.5005
Y 0.8716 0.1943 0.7432
Y 0.5000 0.0000 0.0000
Y 0.1284 0.8057 0.2568
Sc 0.4240 0.4383 0.8479
Sc 0.5760 0.5617 0.1521



Stability summary - winner: model x; margin: 43 meV/atom.



Model w:
Pm4YSc3 | PBE | optimized geometry

Values from the calculation:
Fermi-level density of states = 1.878 states/eV per atom
Theoretical density = 5.00 g/cm³
Total moment = 0.000 μB/cell

Cell: 3.4684 5.6909 17.2009 Å, 127.60 95.79 90.00°
Fractional positions:
Y 0.5000 0.0000 0.0000
Sc 0.0000 0.5000 0.0000
Sc 0.2057 0.2522 0.4115
Sc 0.7943 0.7478 0.5885
Pm 0.3998 0.1286 0.7997
Pm 0.6002 0.8714 0.2003
Pm 0.6894 0.6965 0.3788
Pm 0.3106 0.3035 0.6212



Model x:
Pm4YSc3 | PBE | optimized geometry

Values from the calculation:
Fermi-level density of states = 1.351 states/eV per atom
Theoretical density = 5.53 g/cm³
Total moment = 0.000 μB/cell

Cell: 7.0289 6.0673 11.3121 Å, 90.00 90.00 90.00°
Fractional positions:
Pm 0.1894 0.8251 0.0000
Pm 0.4408 0.3391 0.0000
Pm 0.9403 0.9986 0.2494
Pm 0.4403 0.0014 0.2506
Pm 0.9408 0.6609 0.5000
Pm 0.6894 0.1749 0.5000
Pm 0.4403 0.0014 0.7494
Pm 0.9403 0.9986 0.7506
Y 0.9355 0.3364 0.0000
Y 0.4355 0.6636 0.5000
Sc 0.6908 0.8330 0.0000
Sc 0.1891 0.4964 0.2533
Sc 0.6891 0.5036 0.2467
Sc 0.1908 0.1670 0.5000
Sc 0.6891 0.5036 0.7533
Sc 0.1891 0.4964 0.7467



Stability summary - winner: model x; margin: 252 meV/atom.



Model w:
PmYSc | PBE | optimized geometry

Values from the calculation:
Fermi-level density of states = 1.783 states/eV per atom
Theoretical density = 5.01 g/cm³
Total moment = 0.000 μB/cell

Cell: 3.4317 9.4643 5.9606 Å, 86.19 73.27 90.08°
Fractional positions:
Pm 0.3135 0.4518 0.1158
Pm 0.6099 0.6462 0.5207
Y 0.0908 0.9723 0.5600
Y 0.8327 0.1258 0.0765
Sc 0.5755 0.2858 0.5930
Sc 0.3480 0.8123 0.0436



Model x:
PmYSc | PBE | optimized geometry

Values from the calculation:
Fermi-level density of states = 1.823 states/eV per atom
Theoretical density = 4.98 g/cm³
Total moment = 0.000 μB/cell

Cell: 4.8121 4.8121 8.2105 Å, 81.56 81.56 90.18°
Fractional positions:
Y 0.6731 0.6731 0.3029
Y 0.3269 0.3269 0.6971
Pm 0.8269 0.8269 0.6921
Pm 0.1731 0.1731 0.3079
Sc 0.2505 0.7495 0.0000
Sc 0.7495 0.2505 0.0000



Stability summary - winner: model w; margin: 49 meV/atom.